Model w:
Here is crystalline TaIn3Ga at its relaxed geometry from Alexandria. Energies are from PBE.

space group: No. 221

```
TaIn3Ga
1.0
5.441 0.000 0.000
0.000 5.441 0.000
0.000 0.000 5.441
Ta In Ga
1 3 1
direct
0.000 0.000 0.000 Ta
0.000 0.000 0.500 In
0.000 0.500 0.000 In
0.500 0.000 0.000 In
0.500 0.500 0.500 Ga
```

---

Model x:
Here is crystalline TaIn3Ga at its relaxed geometry from Alexandria. Energies are from PBE.

space group: No. 221

```
TaIn3Ga
1.0
5.136 0.000 0.000
0.000 5.136 0.000
0.000 0.000 5.136
Ta In Ga
1 3 1
direct
0.000 0.000 0.000 Ta
0.000 0.500 0.500 In
0.500 0.000 0.500 In
0.500 0.500 0.000 In
0.500 0.500 0.500 Ga
```

---

Relative energies in meV/atom: model w 0; model x 485

---

Model w:
Here is crystalline TaInGa3 at its relaxed geometry from Alexandria. Energies are from PBE.

space group: No. 221

```
TaInGa3
1.0
5.127 0.000 0.000
0.000 5.127 0.000
0.000 0.000 5.127
Ta In Ga
1 1 3
direct
0.000 0.000 0.000 Ta
0.500 0.500 0.500 In
0.000 0.000 0.500 Ga
0.000 0.500 0.000 Ga
0.500 0.000 0.000 Ga
```

---

Model x:
Here is crystalline TaInGa3 at its relaxed geometry from Alexandria. Energies are from PBE.

space group: No. 221

```
TaInGa3
1.0
5.024 0.000 0.000
0.000 5.024 0.000
0.000 0.000 5.024
Ta In Ga
1 1 3
direct
0.000 0.000 0.000 Ta
0.500 0.500 0.500 In
0.000 0.500 0.500 Ga
0.500 0.000 0.500 Ga
0.500 0.500 0.000 Ga
```

---

Relative energies in meV/atom: model w 0; model x 925

---

Model w:
Here is crystalline Ta2InGa2 at its relaxed geometry from Alexandria. Energies are from PBE.

space group: No. 127

```
Ta2InGa2
1.0
6.924 0.000 0.000
0.000 6.924 0.000
0.000 0.000 3.680
Ta In Ga
4 2 4
direct
0.170 0.330 0.000 Ta
0.330 0.830 0.000 Ta
0.670 0.170 0.000 Ta
0.830 0.670 0.000 Ta
0.000 0.000 0.500 In
0.500 0.500 0.500 In
0.127 0.627 0.500 Ga
0.373 0.127 0.500 Ga
0.627 0.873 0.500 Ga
0.873 0.373 0.500 Ga
```

---

Model x:
Here is crystalline Ta2InGa2 at its relaxed geometry from Alexandria. Energies are from PBE.

space group: No. 127

```
Ta2InGa2
1.0
7.468 0.000 0.000
0.000 7.468 0.000
0.000 0.000 3.410
Ta In Ga
4 2 4
direct
0.127 0.373 0.000 Ta
0.373 0.873 0.000 Ta
0.627 0.127 0.000 Ta
0.873 0.627 0.000 Ta
0.000 0.000 0.000 In
0.500 0.500 0.000 In
0.171 0.671 0.500 Ga
0.329 0.171 0.500 Ga
0.671 0.829 0.500 Ga
0.829 0.329 0.500 Ga
```

---

Relative energies in meV/atom: model w 29; model x 0

---

Model w:
Here is crystalline TbInGa2 at its relaxed geometry from Alexandria. Energies are from PBE.

space group: No. 123

```
TbInGa2
1.0
3.682 0.000 0.000
0.000 3.682 0.000
0.000 0.000 6.654
Tb In Ga
1 1 2
direct
0.000 0.000 0.000 Tb
0.000 0.000 0.500 In
0.500 0.500 0.276 Ga
0.500 0.500 0.724 Ga
```

---

Model x:
Here is crystalline TbInGa2 at its relaxed geometry from Alexandria. Energies are from PBE.

space group: No. 166

```
TbInGa2
1.0
4.524 0.000 0.000
-2.262 3.918 0.000
0.000 0.000 15.367
Tb In Ga
3 3 6
direct
0.000 0.000 0.000 Tb
0.333 0.667 0.667 Tb
0.667 0.333 0.333 Tb
0.000 0.000 0.500 In
0.333 0.667 0.167 In
0.667 0.333 0.833 In
0.000 0.000 0.236 Ga
0.000 0.000 0.764 Ga
0.333 0.667 0.431 Ga
0.333 0.667 0.903 Ga
0.667 0.333 0.097 Ga
0.667 0.333 0.569 Ga
```

---

Model y:
Here is crystalline TbInGa2 at its relaxed geometry from Alexandria. Energies are from PBE.

space group: No. 123

```
TbInGa2
1.0
4.488 0.000 0.000
0.000 4.488 0.000
0.000 0.000 4.274
Tb In Ga
1 1 2
direct
0.000 0.000 0.000 Tb
0.500 0.500 0.000 In
0.000 0.500 0.500 Ga
0.500 0.000 0.500 Ga
```

---

Relative energies in meV/atom: model w 203; model x 163; model y 0

---

Model w:
Here is crystalline TbIn2Ga at its relaxed geometry from Alexandria. Energies are from PBE.

space group: No. 123

```
TbIn2Ga
1.0
4.475 0.000 0.000
0.000 4.475 0.000
0.000 0.000 4.676
Tb In Ga
1 2 1
direct
0.000 0.000 0.000 Tb
0.000 0.500 0.500 In
0.500 0.000 0.500 In
0.500 0.500 0.000 Ga
```

---

Model x:
Here is crystalline TbIn2Ga at its relaxed geometry from Alexandria. Energies are from PBE.

space group: No. 166

```
TbIn2Ga
1.0
4.662 0.000 0.000
-2.331 4.037 0.000
0.000 0.000 16.073
Tb In Ga
3 6 3
direct
0.000 0.000 0.000 Tb
0.333 0.667 0.667 Tb
0.667 0.333 0.333 Tb
0.000 0.000 0.229 In
0.000 0.000 0.771 In
0.333 0.667 0.437 In
0.333 0.667 0.896 In
0.667 0.333 0.104 In
0.667 0.333 0.563 In
0.000 0.000 0.500 Ga
0.333 0.667 0.167 Ga
0.667 0.333 0.833 Ga
```

---

Relative energies in meV/atom: model w 0; model x 258

---

Model w:
Here is crystalline In3GaTc at its relaxed geometry from Alexandria. Energies are from PBE.

space group: No. 221

```
In3GaTc
1.0
5.221 0.000 0.000
0.000 5.221 0.000
0.000 0.000 5.221
In Ga Tc
3 1 1
direct
0.000 0.000 0.500 In
0.000 0.500 0.000 In
0.500 0.000 0.000 In
0.000 0.000 0.000 Ga
0.500 0.500 0.500 Tc
```

---

Model x:
Here is crystalline In3GaTc at its relaxed geometry from Alexandria. Energies are from PBE.

space group: No. 221

```
In3GaTc
1.0
5.217 0.000 0.000
0.000 5.217 0.000
0.000 0.000 5.217
In Ga Tc
3 1 1
direct
0.000 0.000 0.500 In
0.000 0.500 0.000 In
0.500 0.000 0.000 In
0.500 0.500 0.500 Ga
0.000 0.000 0.000 Tc
```

---

Relative energies in meV/atom: model w 740; model x 0